[1]
CuTeHBr2 (PBE, relaxed); N(E_F) = 1.509 states/eV/f.u.
1.0
5.7788 0.0000 0.0000
0.0000 5.7788 0.0000
0.0000 0.0000 3.8809
Cu Te H Br
1 1 1 2
Cartesian
0.0000 0.0000 0.0000
2.8894 2.8894 1.9405
2.8894 2.8894 0.0000
0.0000 2.8894 1.9405
2.8894 0.0000 1.9405



[2]
CdGe (PBE, relaxed); DFT formation energy = 202.4 meV per atom; N(E_F) = 0.638 states/eV/f.u.
1.0
5.1036 0.0000 0.0000
0.0000 3.2151 0.0000
-1.4784 0.0000 5.1424
Cd Ge
2 2
Cartesian
0.0000 0.0000 0.0000
2.5518 1.6075 0.0000
-0.7299 1.6075 2.5714
1.8219 0.0000 2.5714



| no. | DFT total energy (eV/cell) | total magnetization (μB per cell) |
| --- | --- | --- |
| 1 | -11.804 | 0.00 |
| 2 | -10.256 | 0.00 |